The following is a DFT calculation (PBE-GGA) of MgSb2Te2 after structural relaxation.

a = 8.4142 Å, b = 8.4142 Å, c = 4.3498 Å
α = 90.00°, β = 90.00°, γ = 90.00°
Last column: nearest neighbours and their distance in Å.
Fractional positions:
Sb1 0.1817 0.3183 0.0000  2 Te 2.93, 2 Mg 3.08
Sb2 0.8183 0.6817 0.0000  2 Te 2.93, 2 Mg 3.08
Sb3 0.6817 0.1817 0.0000  2 Te 2.93, 2 Mg 3.08
Sb4 0.3183 0.8183 0.0000  2 Te 2.93, 2 Mg 3.08
Mg1 0.5000 0.5000 0.0000  4 Sb 3.08
Mg2 0.0000 0.0000 0.0000  4 Sb 3.08
Te1 0.6533 0.8467 0.5000  2 Sb 2.93
Te2 0.8467 0.3467 0.5000  2 Sb 2.93
Te3 0.3467 0.1533 0.5000  2 Sb 2.93
Te4 0.1533 0.6533 0.5000  2 Sb 2.93

Calculated values
* excess energy over the best structure of this formula in the dataset: 0 meV/atom
* V: 30.8 Å³/atom
* formation energy without anion corrections: 0.00 eV per atom
* total energy: -3.22 eV per atom

---

The following is a DFT calculation (PBE-GGA) of NaReNi after structural relaxation.

a = 4.7108 Å, b = 5.3730 Å, c = 6.4639 Å
α = 47.82°, β = 89.95°, γ = 63.94°
Last column: nearest neighbours and their distance in Å.
Fractional positions:
Re1 0.7148 0.4145 0.8163  4 Ni 2.51, 2 Re 2.59-2.61
Re2 0.3274 0.1861 0.8164  4 Ni 2.51, 2 Re 2.59-2.61
Na1 0.1766 0.4893 0.1273  3 Na 2.68-2.86, 4 Ni 2.80-2.81
Na2 0.8653 0.1117 0.5048  3 Na 2.68-2.86, 4 Ni 2.80-2.81
Ni1 0.7709 0.8008 0.3156  2 Ni 2.36, 4 Re 2.51
Ni2 0.2715 0.7996 0.3171  2 Ni 2.36, 4 Re 2.51

Calculated values
* excess energy over the best structure of this formula in the dataset: 257 meV/atom
* energy of formation from the pure elements: 0.502 eV per atom
* V: 16.3 Å³/atom
* total energy: -6.01 eV per atom

---

The following is a DFT calculation (PBE-GGA) of LiDyScTe3 after structural relaxation.

a = 4.1573 Å, b = 8.5333 Å, c = 9.3852 Å
α = 104.55°, β = 90.00°, γ = 90.00°
Last column: nearest neighbours and their distance in Å.
Fractional positions:
Dy1 0.2500 0.1898 0.2378  7 Te 3.10-3.26
Dy2 0.7500 0.8102 0.7622  7 Te 3.10-3.26
Te1 0.7500 0.2477 0.5027  3 Li 2.71-2.78, 1 Sc 3.04
Te2 0.7500 0.4267 0.1626  3 Sc 2.91-2.96, 2 Dy 3.10
Te3 0.2500 0.5733 0.8374  3 Sc 2.91-2.96, 2 Dy 3.10
Te4 0.7500 0.9047 0.1212  1 Li 2.71, 2 Sc 3.00
Te5 0.2500 0.0953 0.8788  1 Li 2.71, 2 Sc 3.00
Te6 0.2500 0.7523 0.4973  3 Li 2.71-2.78, 1 Sc 3.04
Sc1 0.7500 0.3340 0.8368  6 Te 2.91-3.04
Sc2 0.2500 0.6660 0.1632  6 Te 2.91-3.04
Li1 0.2500 0.0887 0.5887  4 Te 2.71-2.78, 2 Li 2.85
Li2 0.7500 0.9113 0.4113  4 Te 2.71-2.78, 2 Li 2.85

Calculated values
* V: 26.9 Å³/atom
* formation energy without anion corrections: -1.17 eV per atom
* total energy: -4.88 eV per atom

---

The following is a DFT calculation (PBE-GGA) of Ca2AlB after structural relaxation.

a = 10.4399 Å, b = 10.4399 Å, c = 7.6528 Å
α = 46.99°, β = 46.99°, γ = 90.00°
Last column: nearest neighbours and their distance in Å.
Fractional positions:
Al1 0.7500 0.2500 0.5000  2 B 2.02
Al2 0.0000 0.0000 0.0000  2 B 2.02
B1 0.2500 0.7500 0.5000  2 Al 2.02
B2 0.5000 0.5000 0.0000  2 Al 2.02
Ca1 0.3750 0.5535 0.7500  2 B 2.76
Ca2 0.3035 0.6250 0.2500  2 B 2.76
Ca3 0.8750 0.6965 0.7500  2 B 2.76
Ca4 0.4465 0.1250 0.2500  2 B 2.76

Calculated values
* excess energy over the best structure of this formula in the dataset: 0 meV/atom
* energy of formation from the pure elements: 0.146 eV per atom
* V: 27.5 Å³/atom
* total energy: -3.46 eV per atom

---

The following is a DFT calculation (PBE-GGA) of TaAlFe after structural relaxation.

a = 4.9287 Å, b = 4.9287 Å, c = 4.9287 Å
α = 90.91°, β = 118.62°, γ = 120.33°
Last column: nearest neighbours and their distance in Å.
Fractional positions:
Al1 0.5000 0.5000 0.5000  4 Fe 2.46, 2 Al 2.52
Al2 0.0000 0.5000 0.0000  4 Fe 2.46, 2 Al 2.52
Fe1 0.5000 0.0000 0.5000  2 Fe 2.45, 4 Al 2.46
Fe2 0.0000 0.5000 0.5000  2 Fe 2.45, 4 Al 2.46
Ta1 0.7500 0.8764 0.1264  6 Fe 2.86-2.93, 6 Al 2.89, 4 Ta 3.01-3.04
Ta2 0.2500 0.1236 0.8736  6 Fe 2.86-2.93, 6 Al 2.89, 4 Ta 3.01-3.04

Calculated values
* excess energy over the best structure of this formula in the dataset: 0 meV/atom
* energy of formation from the pure elements: -0.333 eV per atom
* V: 14.2 Å³/atom
* total energy: -8.35 eV per atom

---

The following is a DFT calculation (PBE-GGA) of Tm3HgTe2 after structural relaxation.

a = 4.1199 Å, b = 6.1033 Å, c = 7.6560 Å
α = 113.49°, β = 105.61°, γ = 90.00°
Last column: nearest neighbours and their distance in Å.
Fractional positions:
Tm1 0.5000 0.0000 0.5000  2 Hg 3.05, 4 Te 3.09
Tm2 0.8422 0.3422 0.1844  2 Hg 2.95, 4 Te 3.06-3.08
Tm3 0.1578 0.6578 0.8156  2 Hg 2.95, 4 Te 3.06-3.08
Te1 0.1713 0.1713 0.8426  6 Tm 3.06-3.09
Te2 0.8287 0.8287 0.1574  6 Tm 3.06-3.09
Hg1 0.5000 0.5000 0.5000  6 Tm 2.95-3.05

Calculated values
* excess energy over the best structure of this formula in the dataset: 0 meV/atom
* V: 28.1 Å³/atom
* formation energy without anion corrections: -0.95 eV per atom
* total energy: -4.28 eV per atom

---

The following is a DFT calculation (PBE-GGA) of NaCuGeSe3 after structural relaxation.

a = 3.9991 Å, b = 7.3664 Å, c = 11.1391 Å
α = 110.19°, β = 90.00°, γ = 90.00°
Last column: nearest neighbours and their distance in Å.
Fractional positions:
Se1 0.7500 0.2944 0.1984  1 Ge 2.33, 1 Cu 2.46
Se2 0.7500 0.7578 0.1192  3 Cu 2.42-2.67, 1 Ge 2.43
Se3 0.2500 0.2422 0.8808  3 Cu 2.42-2.67, 1 Ge 2.43
Se4 0.2500 0.7056 0.8016  1 Ge 2.33, 1 Cu 2.46
Se5 0.2500 0.7838 0.4260  2 Ge 2.51
Se6 0.7500 0.2162 0.5740  2 Ge 2.51
Na1 0.7500 0.9038 0.7026  3 Se 2.91-3.10
Na2 0.2500 0.0962 0.2974  3 Se 2.91-3.10
Ge1 0.7500 0.6306 0.2935  4 Se 2.33-2.51
Ge2 0.2500 0.3694 0.7065  4 Se 2.33-2.51
Cu1 0.2500 0.6258 0.9990  4 Se 2.42-2.67
Cu2 0.7500 0.3742 0.0010  4 Se 2.42-2.67

Calculated values
* V: 25.7 Å³/atom
* formation energy without anion corrections: -0.46 eV per atom
* total energy: -3.88 eV per atom

---

The following is a DFT calculation (PBE-GGA) of K2TcMo after structural relaxation.

a = 6.5925 Å, b = 6.5925 Å, c = 6.5925 Å
α = 146.58°, β = 146.58°, γ = 47.99°
Last column: nearest neighbours and their distance in Å.
Fractional positions:
K1 0.5000 0.5000 0.0000  4 K 2.68
K2 0.0000 0.0000 0.0000  4 K 2.68
Mo1 0.2500 0.7500 0.5000  4 Tc 2.68
Tc1 0.7500 0.2500 0.5000  4 Mo 2.68

Calculated values
* excess energy over the best structure of this formula in the dataset: 661 meV/atom
* energy of formation from the pure elements: 1.443 eV per atom
* V: 21.6 Å³/atom
* total energy: -4.40 eV per atom

---

Taking the records one at a time from the top gives magnetization values of 0.0; 0.0; 0.0; 0.0; 2.9; 0.0; 0.0; 0.0 Bohr magnetons per cell.